1.
The following is a GGA-PBE calculation of a relaxed structure of HIrRu2W, from Alexandria via LeMat-Bulk.

Cell lengths 3.8901, 3.8901, 3.9776 Å; angles 90.00, 90.00, 90.00 degrees
Closest atoms and distances in Å follow each position.
Space group P4/mmm (No. 123)
Unique sites:
H 0.0000 0.0000 0.0000 x1  4 Ru 1.95, 2 W 1.99
Ir 0.5000 0.5000 0.5000 x1  4 W 2.75, 8 Ru 2.78
Ru 0.0000 0.5000 0.0000 x2  2 H 1.95
W 0.0000 0.0000 0.5000 x1  2 H 1.99

Computed properties:
Magnetic moment   0.000 μB per atom
Total energy   -8.804 eV/atom
ΔE to the lowest computed polymorph   36 meV/atom

=====

2.
The following is a GGA-PBE calculation of a relaxed structure of HIrRuW2, from Alexandria via LeMat-Bulk.

Cell lengths 4.0056, 4.0056, 3.8991 Å; angles 90.00, 90.00, 90.00 degrees
Closest atoms and distances in Å follow each position.
Space group P4/mmm (No. 123)
Unique sites:
H 0.0000 0.0000 0.0000 x1  2 Ir 1.95, 4 W 2.00
Ir 0.0000 0.0000 0.5000 x1  2 H 1.95
Ru 0.5000 0.5000 0.5000 x1  8 W 2.79, 4 Ir 2.83
W 0.0000 0.5000 0.0000 x2  2 H 2.00

Computed properties:
Magnetic moment   0.000 μB per atom
Total energy   -9.483 eV/atom
ΔE to the lowest computed polymorph   58 meV/atom

=====

3.
The following is a GGA-PBE calculation of a relaxed structure of Y2HIrRu, from Alexandria via LeMat-Bulk.

Cell lengths 4.8631, 4.8631, 3.5531 Å; angles 90.00, 90.00, 90.00 degrees
Closest atoms and distances in Å follow each position.
Space group P4/mmm (No. 123)
Unique sites:
Y 0.0000 0.5000 0.0000 x2  2 H 2.43
H 0.0000 0.0000 0.0000 x1  2 Ir 1.78
Ir 0.0000 0.0000 0.5000 x1  2 H 1.78
Ru 0.5000 0.5000 0.5000 x1  8 Y 3.01

Computed properties:
Magnetic moment   0.000 μB per atom
Total energy   -7.401 eV/atom
ΔE to the lowest computed polymorph   53 meV/atom

=====

4.
The following is a GGA-PBE calculation of a relaxed structure of Y2HIrRu, from Alexandria via LeMat-Bulk.

Cell lengths 4.8343, 4.8343, 3.5657 Å; angles 90.00, 90.00, 90.00 degrees
Closest atoms and distances in Å follow each position.
Space group P4/mmm (No. 123)
Unique sites:
Y 0.0000 0.5000 0.0000 x2  2 H 2.42
H 0.0000 0.0000 0.0000 x1  2 Ru 1.78
Ir 0.5000 0.5000 0.5000 x1  8 Y 3.00
Ru 0.0000 0.0000 0.5000 x1  2 H 1.78

Computed properties:
Magnetic moment   0.000 μB per atom
Total energy   -7.455 eV/atom
ΔE to the lowest computed polymorph   0 meV/atom